(1)
Cr2ReHSe | PBE | relaxed

The value obtained for the total DFT energy (no corrections) is -7.229 eV per atom. As for the size of the total moment: 4.582 Bohr magnetons per cell. Its symmetry is P4/mmm.

a = 3.895 Å, b = 3.895 Å, c = 3.881 Å
α = 90.00°, β = 90.00°, γ = 90.00°
Positions (direct):
Cr1 0.000 0.500 0.000
Cr2 0.500 0.000 0.000
Re1 0.000 0.000 0.500
H1 0.000 0.000 0.000
Se1 0.500 0.500 0.500



(2)
MnNiH2 | PBE | relaxed

The value obtained for the total DFT energy (no corrections) is -5.397 eV per atom. As for the size of the total moment: 7.038 Bohr magnetons per cell. Its symmetry is I-42d.

a = 4.911 Å, b = 4.911 Å, c = 4.911 Å
α = 133.19°, β = 133.19°, γ = 68.35°
Positions (direct):
Mn1 0.000 0.000 0.000
Mn2 0.750 0.250 0.500
Ni1 0.250 0.750 0.500
Ni2 0.500 0.500 0.000
H1 0.149 0.625 0.024
H2 0.375 0.399 0.524
H3 0.601 0.125 0.976
H4 0.875 0.851 0.476



(3)
Sm5Ir2Au | PBE | relaxed

Its energy of formation from the pure elements is -525 kJ/mol of formula units. As for the size of the total moment: 0.000 Bohr magnetons per cell. Its symmetry is I4/mcm.

a = 8.762 Å, b = 8.762 Å, c = 8.762 Å
α = 126.77°, β = 126.77°, γ = 78.63°
Positions (direct):
Sm1 0.000 0.000 0.000
Sm2 0.027 0.527 0.827
Sm3 0.200 0.027 0.500
Sm4 0.300 0.800 0.827
Sm5 0.473 0.300 0.500
Sm6 0.500 0.500 0.000
Sm7 0.527 0.700 0.500
Sm8 0.700 0.200 0.173
Sm9 0.800 0.973 0.500
Sm10 0.973 0.473 0.173
Ir1 0.136 0.364 0.500
Ir2 0.364 0.864 0.227
Ir3 0.636 0.136 0.773
Ir4 0.864 0.636 0.500
Au1 0.250 0.250 0.000
Au2 0.750 0.750 0.000



(4)
Li7YPb4 | PBE | relaxed

Its energy of formation from the pure elements is -177 kJ/mol of formula units. As for the size of the total moment: 0.288 Bohr magnetons per cell. Its symmetry is C2/m.

a = 6.955 Å, b = 6.955 Å, c = 10.181 Å
α = 122.46°, β = 122.46°, γ = 43.06°
Positions (direct):
Li1 0.000 0.000 0.000
Li2 0.158 0.158 0.582
Li3 0.287 0.287 0.118
Li4 0.425 0.425 0.631
Li5 0.575 0.575 0.369
Li6 0.713 0.713 0.882
Li7 0.842 0.842 0.418
Y1 0.500 0.500 0.000
Pb1 0.077 0.077 0.795
Pb2 0.197 0.197 0.311
Pb3 0.803 0.803 0.689
Pb4 0.923 0.923 0.205



(5)
NaNiP2Cl | PBE | relaxed

The formation energy from raw total energies is -111 kJ/mol of formula units. As for the size of the total moment: 0.000 Bohr magnetons per cell. Its distance to the lowest polymorph of the same formula is 0.000 eV per atom. Its symmetry is P4/mmm.

a = 4.137 Å, b = 4.137 Å, c = 8.571 Å
α = 90.00°, β = 90.00°, γ = 90.00°
Positions (direct):
Na1 0.000 0.000 0.000
Ni1 0.500 0.500 0.500
P1 0.000 0.500 0.500
P2 0.500 0.000 0.500
Cl1 0.500 0.500 0.000



(6)
LiPmSiO4 | PBE | relaxed

The formation energy from raw total energies is -1950 kJ/mol of formula units. As for the size of the total moment: 0.000 Bohr magnetons per cell. Its symmetry is Cmcm.

a = 5.311 Å, b = 5.311 Å, c = 6.978 Å
α = 90.00°, β = 90.00°, γ = 113.18°
Positions (direct):
Li1 0.156 0.844 0.750
Li2 0.844 0.156 0.250
Pm1 0.500 0.500 0.000
Pm2 0.500 0.500 0.500
Si1 0.143 0.857 0.250
Si2 0.857 0.143 0.750
O1 0.200 0.252 0.750
O2 0.241 0.759 0.052
O3 0.241 0.759 0.448
O4 0.252 0.200 0.250
O5 0.748 0.800 0.750
O6 0.759 0.241 0.552
O7 0.759 0.241 0.948
O8 0.800 0.748 0.250



(7)
Ac2PtAu | PBE | relaxed

Its energy of formation from the pure elements is -379 kJ/mol of formula units. As for the size of the total moment: 0.000 Bohr magnetons per cell. Its symmetry is R3m.

a = 8.023 Å, b = 8.023 Å, c = 8.023 Å
α = 31.94°, β = 31.94°, γ = 31.94°
Positions (direct):
Ac1 0.000 0.000 0.000
Ac2 0.183 0.183 0.183
Pt1 0.591 0.591 0.591
Au1 0.425 0.425 0.425



(8)
AgW | PBE | relaxed

Its energy of formation from the pure elements is 135 kJ/mol of formula units. As for the size of the total moment: 0.000 Bohr magnetons per cell. Its distance to the lowest polymorph of the same formula is 0.359 eV per atom. Its symmetry is P4/m.

a = 10.320 Å, b = 10.320 Å, c = 2.691 Å
α = 90.00°, β = 90.00°, γ = 90.00°
Positions (direct):
Ag1 0.042 0.818 0.000
Ag2 0.182 0.042 0.000
Ag3 0.193 0.311 0.500
Ag4 0.311 0.807 0.500
Ag5 0.689 0.193 0.500
Ag6 0.807 0.689 0.500
Ag7 0.818 0.958 0.000
Ag8 0.958 0.182 0.000
W1 0.090 0.585 0.500
W2 0.323 0.537 0.000
W3 0.415 0.090 0.500
W4 0.463 0.323 0.000
W5 0.537 0.677 0.000
W6 0.585 0.910 0.500
W7 0.677 0.463 0.000
W8 0.910 0.415 0.500



(9)
Sb2TePdPb | PBE | relaxed

The formation energy from raw total energies is 88 kJ/mol of formula units. As for the size of the total moment: 0.000 Bohr magnetons per cell. Its distance to the lowest polymorph of the same formula is 0.000 eV per atom. Its symmetry is P4/mmm.

a = 5.205 Å, b = 5.205 Å, c = 5.574 Å
α = 90.00°, β = 90.00°, γ = 90.00°
Positions (direct):
Sb1 0.000 0.500 0.000
Sb2 0.500 0.000 0.000
Te1 0.000 0.000 0.500
Pd1 0.000 0.000 0.000
Pb1 0.500 0.500 0.500



(10)
K2Sc2Bi2H | PBE | relaxed

The value obtained for the total DFT energy (no corrections) is -4.247 eV per atom. As for the size of the total moment: 0.859 Bohr magnetons per cell. Its symmetry is I4/mmm.

a = 9.828 Å, b = 9.828 Å, c = 9.828 Å
α = 152.55°, β = 152.55°, γ = 39.21°
Positions (direct):
K1 0.181 0.181 0.000
K2 0.819 0.819 0.000
Sc1 0.000 0.500 0.500
Sc2 0.500 0.000 0.500
Bi1 0.390 0.390 0.000
Bi2 0.610 0.610 0.000
H1 0.000 0.000 0.000



(11)
ScSi4 | PBE | relaxed

The formation energy from raw total energies is -65 kJ/mol of formula units. As for the size of the total moment: 0.000 Bohr magnetons per cell. Its distance to the lowest polymorph of the same formula is 0.000 eV per atom. Its symmetry is I4/m.

a = 4.991 Å, b = 4.991 Å, c = 4.991 Å
α = 97.06°, β = 97.06°, γ = 138.96°
Positions (direct):
Sc1 0.000 0.000 0.000
Si1 0.186 0.376 0.562
Si2 0.376 0.814 0.189
Si3 0.624 0.186 0.811
Si4 0.814 0.624 0.438



(12)
Pm4Er19Th6 | PBE | relaxed

Its energy of formation from the pure elements is 273 kJ/mol of formula units. As for the size of the total moment: 0.000 Bohr magnetons per cell. Its symmetry is P1.

a = 8.827 Å, b = 11.144 Å, c = 11.666 Å
α = 61.49°, β = 68.19°, γ = 71.79°
Positions (direct):
Pm1 0.000 0.000 0.000
Pm2 0.061 0.668 0.636
Pm3 0.542 0.310 0.090
Pm4 0.714 0.340 0.455
Er1 0.129 0.328 0.272
Er2 0.164 0.826 0.257
Er3 0.217 0.993 0.405
Er4 0.253 0.179 0.034
Er5 0.253 0.646 0.037
Er6 0.327 0.299 0.688
Er7 0.392 0.495 0.806
Er8 0.457 0.161 0.446
Er9 0.462 0.653 0.452
Er10 0.585 0.560 0.169
Er11 0.663 0.183 0.822
Er12 0.665 0.654 0.823
Er13 0.783 0.997 0.599
Er14 0.799 0.504 0.591
Er15 0.876 0.162 0.239
Er16 0.880 0.654 0.242
Er17 0.885 0.829 0.888
Er18 0.924 0.337 0.859
Er19 0.984 0.488 0.010
Th1 0.052 0.168 0.628
Th2 0.218 0.484 0.408
Th3 0.328 0.847 0.690
Th4 0.437 0.950 0.873
Th5 0.581 0.959 0.166
Th6 0.713 0.854 0.433



> size of the total moment of number 9 (Sb2TePdPb)?

0.000 Bohr magnetons per cell



> size of the total moment of number 3 (Sm5Ir2Au)?

0.000 Bohr magnetons per cell